No. 1
PBE-GGA SrCdSeN2, optimized geometry; energy above the most stable polymorph in this dataset = 0 meV/atom; energy relative to the elements, uncorrected = 0.69 eV/atom; magnetic moment = 3.4 μB per formula unit
1.0
4.438 0.000 0.000
0.000 4.438 0.000
0.000 0.000 5.577
N Cd Se Sr
2 1 1 1
Direct
0.000 0.500 0.000
0.500 0.000 0.000
0.000 0.000 0.000
0.000 0.000 0.500
0.500 0.500 0.500

No. 2
PBE-GGA Zr2PdN, optimized geometry; energy relative to the elements, uncorrected = -0.79 eV/atom; magnetic moment = 0.0 μB per formula unit
1.0
-4.044 -0.304 -4.685
0.752 -6.146 -0.250
-4.522 -3.679 0.045
Zr Pd N
4 2 2
Direct
0.549 0.125 0.250
0.875 0.799 0.750
0.201 0.625 0.250
0.375 0.451 0.750
0.000 0.000 0.000
0.750 0.250 0.500
0.250 0.750 0.500
0.500 0.500 0.000

No. 3
PBE-GGA NdHgB2O6, optimized geometry; energy relative to the elements, uncorrected = -2.07 eV/atom; magnetic moment = 0.0 μB per formula unit
1.0
6.625 -0.613 -0.106
-1.419 6.500 -0.106
-1.566 -1.771 6.532
O B Nd Hg
12 4 2 2
Direct
0.062 0.497 0.781
0.712 0.507 0.610
0.913 0.770 0.924
0.507 0.712 0.110
0.087 0.230 0.076
0.503 0.938 0.719
0.288 0.493 0.390
0.230 0.087 0.576
0.497 0.062 0.281
0.938 0.503 0.219
0.493 0.288 0.890
0.770 0.913 0.424
0.098 0.412 0.227
0.412 0.098 0.727
0.588 0.902 0.273
0.902 0.588 0.773
0.424 0.576 0.750
0.576 0.424 0.250
0.898 0.102 0.750
0.102 0.898 0.250

No. 4
PBE-GGA PmThBeN3, optimized geometry; energy relative to the elements, uncorrected = -1.32 eV/atom; magnetic moment = 0.0 μB per formula unit
1.0
3.455 0.000 0.000
0.000 7.324 0.968
0.000 -1.732 6.687
N Pm Th Be
6 2 2 2
Direct
0.750 0.878 0.155
0.250 0.594 0.849
0.750 0.406 0.151
0.750 0.148 0.500
0.250 0.122 0.845
0.250 0.852 0.500
0.750 0.843 0.795
0.250 0.157 0.205
0.250 0.647 0.199
0.750 0.353 0.801
0.750 0.929 0.403
0.250 0.071 0.597

No. 5
PBE-GGA ScTcB2, optimized geometry; energy above the most stable polymorph in this dataset = 587 meV/atom; DFT formation energy = 77 meV per atom; magnetic moment = 0.0 μB per formula unit
1.0
0.000 2.822 2.822
2.822 0.000 2.822
2.822 2.822 0.000
Tc B Sc
1 2 1
Direct
0.500 0.500 0.500
0.750 0.750 0.750
0.250 0.250 0.250
0.000 0.000 0.000

No. 6
PBE-GGA LiAsCl2, optimized geometry; energy above the most stable polymorph in this dataset = 220 meV/atom; energy relative to the elements, uncorrected = -0.66 eV/atom; magnetic moment = 0.0 μB per formula unit
1.0
3.249 -0.001 0.000
0.123 3.247 0.000
0.000 0.000 7.765
As Cl Li
1 2 1
Direct
0.500 0.500 0.748
0.500 0.500 0.427
0.000 0.000 0.018
0.000 0.000 0.307

No. 7
PBE-GGA K3Na6Tl, optimized geometry; energy above the most stable polymorph in this dataset = 0 meV/atom; DFT formation energy = 0 meV per atom; magnetic moment = 0.0 μB per formula unit
1.0
-2.491 -5.244 7.976
8.122 -5.246 1.958
4.214 4.934 7.431
Na Tl K
12 2 6
Direct
0.385 0.373 0.850
0.037 0.317 0.027
0.317 0.027 0.037
0.973 0.963 0.683
0.615 0.627 0.150
0.850 0.385 0.373
0.150 0.615 0.627
0.627 0.150 0.615
0.963 0.683 0.973
0.373 0.850 0.385
0.683 0.973 0.963
0.027 0.037 0.317
0.500 0.500 0.500
0.000 0.000 0.000
0.407 0.776 0.783
0.783 0.407 0.776
0.217 0.593 0.224
0.776 0.783 0.407
0.593 0.224 0.217
0.224 0.217 0.593

No. 8
PBE-GGA CdFe2W, optimized geometry; DFT formation energy = 397 meV per atom; magnetic moment = 4.2 μB per formula unit
1.0
-4.841 1.801 7.123
-4.793 -1.049 7.304
-2.638 0.487 8.380
Cd Fe W
1 2 1
Direct
0.750 0.750 0.750
0.507 0.507 0.507
0.993 0.993 0.993
0.250 0.250 0.250

| no. | V (Å³/cell) |
| --- | --- |
| 1 | 109.9 |
| 2 | 147.7 |
| 3 | 272.9 |
| 4 | 175.0 |
| 5 | 44.9 |
| 6 | 81.9 |
| 7 | 890.4 |
| 8 | 61.1 |